[1]
Mg2AsIr (SCAN, single point on PBEsol structure); total DFT energy (no corrections) = -102.087 eV for the cell shown; DFT formation energy = -4.90 kcal/mol of atoms
1.0
3.0081 0.0000 0.0000
1.5040 2.6051 0.0000
1.5040 0.8684 8.5547
Ir As Mg
1 1 2
Cartesian
0.0000 0.0000 0.0000 Ir
3.0081 1.7367 4.2773 As
1.5040 0.8684 2.0062 Mg
4.5121 2.6051 6.5484 Mg

---

[2]
Mg2AsIr (SCAN, single point on PBEsol structure); total DFT energy (no corrections) = -103.078 eV for the cell shown; DFT formation energy = -10.61 kcal/mol of atoms
1.0
-1.3433 1.8915 1.9035
0.5313 -3.1110 3.4662
4.8319 1.9458 -0.8891
Mg Ir As
2 1 1
Cartesian
2.2992 -0.8654 2.4825 Mg
0.2960 -0.0152 0.2240 Mg
1.7489 1.8648 1.7466 Ir
4.1017 1.0780 1.8233 As

---

[3]
Mg2AsIr (SCAN, single point on PBEsol structure); total DFT energy (no corrections) = -102.735 eV for the cell shown; DFT formation energy = -8.64 kcal/mol of atoms
1.0
2.9784 0.0000 0.0000
0.0000 2.9784 0.0000
0.0000 0.0000 7.5867
Ir Mg As
1 2 1
Cartesian
1.4892 1.4892 3.7934 Ir
0.0000 0.0000 2.1228 Mg
0.0000 0.0000 5.4639 Mg
1.4892 1.4892 0.0000 As

---

[4]
Mg2MoAsIr (SCAN, single point on PBEsol structure); total DFT energy (no corrections) = -130.002 eV for the cell shown; DFT formation energy = 28.23 kcal/mol of atoms
1.0
4.5864 0.0000 0.0000
0.0000 5.0100 0.0000
0.0000 0.0000 5.0100
As Mo Ir Mg
1 1 1 2
Cartesian
2.2932 2.5050 2.5050 As
0.0000 0.0000 0.0000 Mo
2.2932 0.0000 0.0000 Ir
0.0000 2.5050 0.0000 Mg
0.0000 0.0000 2.5050 Mg

---

[5]
Mg2AsIrRu (SCAN, single point on PBEsol structure); total DFT energy (no corrections) = -131.931 eV for the cell shown; DFT formation energy = 19.06 kcal/mol of atoms
1.0
4.4016 0.0000 0.0000
0.0000 4.6994 0.0000
0.0000 0.0000 4.6994
As Mg Ru Ir
1 2 1 1
Cartesian
0.0000 0.0000 0.0000 As
0.0000 2.3497 0.0000 Mg
0.0000 0.0000 2.3497 Mg
2.2008 0.0000 0.0000 Ru
2.2008 2.3497 2.3497 Ir

---

[6]
MnAs2Ir (SCAN, single point on PBEsol structure); total DFT energy (no corrections) = -129.881 eV for the cell shown; DFT formation energy = -0.84 kcal/mol of atoms
1.0
-1.8310 -2.0609 -1.0382
3.4078 -2.2890 -1.4665
-0.5524 -0.0986 5.3494
Ir As Mn
1 2 1
Cartesian
0.2304 -2.2196 3.9999 Ir
1.0193 -4.3997 2.7568 As
-0.7896 -2.2435 1.6670 As
1.8246 -2.3076 1.3628 Mn

---

[7]
MnAs2Ir (SCAN, single point on PBEsol structure); total DFT energy (no corrections) = -130.261 eV for the cell shown; DFT formation energy = -3.03 kcal/mol of atoms
1.0
3.6071 0.0000 0.0000
0.0000 3.6399 0.0000
-1.8035 -1.8200 5.5750
As Ir Mn
2 1 1
Cartesian
0.0000 0.0000 1.7434 As
1.8035 1.8200 3.8316 As
1.8035 0.0000 0.0000 Ir
0.0000 1.8200 0.0000 Mn

---

[8]
MnAs2Ir (SCAN, single point on PBEsol structure); total DFT energy (no corrections) = -260.355 eV for the cell shown; DFT formation energy = -2.55 kcal/mol of atoms
1.0
-3.7901 -1.2830 -0.5981
0.6057 0.0753 -3.9995
4.0316 -6.7103 2.5306
Ir As Mn
2 4 2
Cartesian
0.0000 0.0000 0.0000 Ir
1.5225 -3.6194 -1.8839 Ir
0.0705 -2.1084 -3.0985 As
2.6330 -5.1828 1.2747 As
1.0260 -5.7885 -0.9270 As
-2.0353 -2.7564 -1.3833 As
-1.5922 -0.6039 -2.2988 Mn
-0.6754 -4.2986 -0.1832 Mn

---

- Look up the DFT formation energy of the fifth one.
  19.06 kcal/mol of atoms

---

- Number 2 is which compound?
  Mg2AsIr

---

- Which value of DFT formation energy does entry 7 give?
  -3.03 kcal/mol of atoms

---

- Among the records above, which one has the highest total DFT energy (no corrections)?
  number 1